Entry 1:
VASP calculation (PBE) on a geometry-optimized TcHgAu structure.

Lattice parameters (Å, degrees): 4.5127 4.5127 4.5127 60.00 60.00 60.00
With the nearest neighbours (Å) after each atom.
Sites, in units of the cell vectors:
Tc 0.0000 0.0000 0.0000  4 Hg 2.76, 4 Au 2.76
Hg 0.2500 0.2500 0.2500  4 Tc 2.76
Au 0.7500 0.7500 0.7500  4 Tc 2.76

Results
Electronic total energy ... -3.84 eV per atom
Energy relative to the lowest polymorph listed for this composition ... 348 meV/atom
Magnetic moment ... 0.71 μB/atom
Symmetry ... F-43m
Formation enthalpy at 0 K ... 0.812 eV per atom

Entry 2:
VASP calculation (PBE) on a geometry-optimized ZrCd2CoSi structure.

Lattice parameters (Å, degrees): 4.8364 4.8364 4.2630 90.00 90.00 90.00
With the nearest neighbours (Å) after each atom.
Sites, in units of the cell vectors:
Zr 0.0000 0.0000 0.0000  8 Cd 3.22, 4 Si 3.42
Cd 0.0000 0.5000 0.5000  2 Co 2.42
Cd 0.5000 0.0000 0.5000  2 Co 2.42
Co 0.5000 0.5000 0.5000  2 Si 2.13
Si 0.5000 0.5000 0.0000  2 Co 2.13

Results
Electronic total energy ... -4.27 eV per atom
Magnetic moment ... 0.18 μB/atom
E_form (uncorrected) ... 29.8 kJ/mol of atoms
Symmetry ... P4/mmm

Entry 3:
VASP calculation (PBE) on a geometry-optimized DyHgGe structure.

Lattice parameters (Å, degrees): 8.4746 8.4746 8.4746 32.21 32.21 32.21
With the nearest neighbours (Å) after each atom.
Sites, in units of the cell vectors:
Dy 0.0766 0.0766 0.0766  4 Ge 2.88-3.08, 3 Hg 3.07
Dy 0.9234 0.9234 0.9234  4 Ge 2.88-3.08, 3 Hg 3.07
Hg 0.3504 0.3504 0.3504  3 Hg 2.84, 3 Dy 3.07
Hg 0.6496 0.6496 0.6496  3 Hg 2.84, 3 Dy 3.07
Ge 0.1962 0.1962 0.1962  4 Dy 2.88-3.08, 3 Ge 3.06
Ge 0.8038 0.8038 0.8038  4 Dy 2.88-3.08, 3 Ge 3.06

Results
Electronic total energy ... -3.43 eV per atom
Magnetic moment ... 0.00 μB/atom
Symmetry ... R-3m
Formation enthalpy at 0 K ... -0.252 eV per atom

Entry 4:
VASP calculation (PBE) on a geometry-optimized TeAu2S structure.

Lattice parameters (Å, degrees): 7.3021 7.3021 7.3021 131.76 131.76 70.60
With the nearest neighbours (Å) after each atom.
Sites, in units of the cell vectors:
Te 0.0000 0.0000 0.0000  4 Au 2.72
Te 0.7500 0.2500 0.5000  4 Au 2.72
Au 0.1633 0.6250 0.0383  2 S 2.46, 2 Te 2.72
Au 0.3750 0.4133 0.5383  2 S 2.46, 2 Te 2.72
Au 0.5867 0.1250 0.9617  2 S 2.46, 2 Te 2.72
Au 0.8750 0.8367 0.4617  2 S 2.46, 2 Te 2.72
S 0.2500 0.7500 0.5000  4 Au 2.46
S 0.5000 0.5000 0.0000  4 Au 2.46

Results
Electronic total energy ... -3.36 eV per atom
Energy relative to the lowest polymorph listed for this composition ... 0 meV/atom
Magnetic moment ... 0.00 μB/atom
E_form (uncorrected) ... 9.6 kJ/mol of atoms
Symmetry ... I-42d

Entry 5:
VASP calculation (PBE) on a geometry-optimized AlReRu2Br structure.

Lattice parameters (Å, degrees): 4.5254 4.5254 4.6622 90.00 90.00 90.00
With the nearest neighbours (Å) after each atom.
Sites, in units of the cell vectors:
Al 0.0000 0.0000 0.0000  4 Ru 2.26, 2 Re 2.33
Re 0.0000 0.0000 0.5000  2 Al 2.33
Ru 0.0000 0.5000 0.0000  2 Al 2.26
Ru 0.5000 0.0000 0.0000  2 Al 2.26
Br 0.5000 0.5000 0.5000  4 Re 3.20, 8 Ru 3.25

Results
Electronic total energy ... -5.52 eV per atom
Magnetic moment ... 0.61 μB/atom
E_form (uncorrected) ... 170.4 kJ/mol of atoms
Symmetry ... P4/mmm

Entry 6:
VASP calculation (PBE) on a geometry-optimized MgC2F structure.

Lattice parameters (Å, degrees): 3.9220 3.9220 3.9220 60.00 60.00 60.00
With the nearest neighbours (Å) after each atom.
Sites, in units of the cell vectors:
Mg 0.0000 0.0000 0.0000  8 C 2.40
C 0.2500 0.2500 0.2500  4 F 2.40, 4 Mg 2.40
C 0.7500 0.7500 0.7500  4 Mg 2.40, 4 F 2.40
F 0.5000 0.5000 0.5000  8 C 2.40

Results
Electronic total energy ... -3.53 eV per atom
Energy relative to the lowest polymorph listed for this composition ... 2182 meV/atom
Magnetic moment ... 0.00 μB/atom
E_form (uncorrected) ... 188.4 kJ/mol of atoms
Symmetry ... Fm-3m

Entry 7:
VASP calculation (PBE) on a geometry-optimized PrInNiRh structure.

Lattice parameters (Å, degrees): 4.7915 4.7915 4.7915 60.00 60.00 60.00
With the nearest neighbours (Å) after each atom.
Sites, in units of the cell vectors:
Pr 0.0000 0.0000 0.0000  4 Rh 2.93, 4 Ni 2.93
In 0.5000 0.5000 0.5000  4 Rh 2.93, 4 Ni 2.93
Ni 0.2500 0.2500 0.2500  4 In 2.93, 4 Pr 2.93
Rh 0.7500 0.7500 0.7500  4 Pr 2.93, 4 In 2.93

Results
Electronic total energy ... -5.53 eV per atom
Magnetic moment ... 0.00 μB/atom
Symmetry ... F-43m
Formation enthalpy at 0 K ... -0.371 eV per atom

Entry 8:
VASP calculation (PBE) on a geometry-optimized AlCoAu2 structure.

Lattice parameters (Å, degrees): 4.6196 4.6196 4.6196 126.73 126.73 78.69
With the nearest neighbours (Å) after each atom.
Sites, in units of the cell vectors:
Al 0.0000 0.0000 0.0000  8 Au 2.73, 4 Co 2.93
Co 0.5000 0.5000 0.0000  8 Au 2.73, 4 Al 2.93
Au 0.2500 0.7500 0.5000  4 Co 2.73, 4 Al 2.73, 4 Au 2.93
Au 0.7500 0.2500 0.5000  4 Co 2.73, 4 Al 2.73, 4 Au 2.93

Results
Electronic total energy ... -4.43 eV per atom
Magnetic moment ... 0.35 μB/atom
Symmetry ... I4/mmm
Formation enthalpy at 0 K ... -0.080 eV per atom

Question: Number 6 is which compound?
Answer: MgC2F

Question: Among the records above, which one has the lowest electronic total energy?
Answer: PrInNiRh

Question: Look up the magnetic moment of the fifth one.
Answer: 0.61 μB/atom